# CaNb2B2 PBE optimized geometry
data_CaNb2B2
_chemical_formula_sum 'Ca1 Nb2 B2'
_cell_length_a 4.2666
_cell_length_b 4.2666
_cell_length_c 5.6172
_cell_angle_alpha 67.68
_cell_angle_beta 67.68
_cell_angle_gamma 90.00
_symmetry_space_group_name_H-M 'P 1'
_symmetry_Int_Tables_number 1
_symmetry_space_group_name_Hall 'P 1'
loop_
_atom_site_label
_atom_site_fract_x
_atom_site_fract_y
_atom_site_fract_z
Nb1 0.3183 0.3183 0.3634
B1 0.2500 0.7500 0.5000
Nb2 0.6817 0.6817 0.6366
B2 0.7500 0.2500 0.5000
Ca1 0.0000 0.0000 0.0000
# Magnetic moment ... 0.00 μB/f.u.
# ΔE_f ... 0.01 eV per atom
# Raw total energy ... -35.47 eV/cell
# Theoretical density ... 4765 kg/m3
# Space group ... No. 139
# ΔE to the lowest computed polymorph ... 0 meV/atom

***

# CaNb2B2 PBE optimized geometry
data_CaNb2B2
_chemical_formula_sum 'Ca2 Nb4 B4'
_cell_length_a 7.3261
_cell_length_b 7.3261
_cell_length_c 2.7167
_cell_angle_alpha 90.00
_cell_angle_beta 90.00
_cell_angle_gamma 90.00
_symmetry_space_group_name_H-M 'P 1'
_symmetry_Int_Tables_number 1
_symmetry_space_group_name_Hall 'P 1'
loop_
_atom_site_label
_atom_site_fract_x
_atom_site_fract_y
_atom_site_fract_z
Nb1 0.1269 0.3731 0.0000
B1 0.1667 0.6667 0.5000
Nb2 0.6269 0.1269 0.0000
B2 0.8333 0.3333 0.5000
B3 0.6667 0.8333 0.5000
Nb3 0.3731 0.8731 0.0000
Ca1 0.0000 0.0000 0.0000
Nb4 0.8731 0.6269 0.0000
Ca2 0.5000 0.5000 0.0000
B4 0.3333 0.1667 0.5000
# Magnetic moment ... 0.00 μB/f.u.
# ΔE_f ... 0.38 eV per atom
# Raw total energy ... -67.21 eV/cell
# Theoretical density ... 5637 kg/m3
# Space group ... No. 127
# ΔE to the lowest computed polymorph ... 372 meV/atom

***

# CaNbBP2 PBE optimized geometry
data_CaNbBP2
_chemical_formula_sum 'Ca1 Nb1 B1 P2'
_cell_length_a 4.9626
_cell_length_b 4.9575
_cell_length_c 4.9626
_cell_angle_alpha 90.00
_cell_angle_beta 90.00
_cell_angle_gamma 90.00
_symmetry_space_group_name_H-M 'P 1'
_symmetry_Int_Tables_number 1
_symmetry_space_group_name_Hall 'P 1'
loop_
_atom_site_label
_atom_site_fract_x
_atom_site_fract_y
_atom_site_fract_z
P1 0.5000 0.0000 0.0000
Ca1 0.0000 0.0000 0.0000
P2 0.0000 0.0000 0.5000
B1 0.5000 0.5000 0.5000
Nb1 0.0000 0.5000 0.0000
# Magnetic moment ... 0.00 μB/f.u.
# ΔE_f ... 2.43 eV per atom
# Raw total energy ... -17.40 eV/cell
# Theoretical density ... 2798 kg/m3
# Space group ... No. 123

***

# CaNbReB2 PBE optimized geometry
data_CaNbReB2
_chemical_formula_sum 'Ca1 Nb1 Re1 B2'
_cell_length_a 4.3022
_cell_length_b 4.9242
_cell_length_c 4.3022
_cell_angle_alpha 90.00
_cell_angle_beta 90.00
_cell_angle_gamma 90.00
_symmetry_space_group_name_H-M 'P 1'
_symmetry_Int_Tables_number 1
_symmetry_space_group_name_Hall 'P 1'
loop_
_atom_site_label
_atom_site_fract_x
_atom_site_fract_y
_atom_site_fract_z
Re1 0.0000 0.0000 0.0000
B1 0.0000 0.0000 0.5000
Nb1 0.0000 0.5000 0.0000
Ca1 0.5000 0.5000 0.5000
B2 0.5000 0.0000 0.0000
# Magnetic moment ... 1.21 μB/f.u.
# ΔE_f ... 0.86 eV per atom
# Raw total energy ... -33.56 eV/cell
# Theoretical density ... 6209 kg/m3
# Space group ... No. 123

***

Among the records above, which one has the lowest ΔE_f?
number 1

***

Which of these has the highest theoretical density?
CaNbReB2

***

Repeat the third record exactly.
# CaNbBP2 PBE optimized geometry
data_CaNbBP2
_chemical_formula_sum 'Ca1 Nb1 B1 P2'
_cell_length_a 4.9626
_cell_length_b 4.9575
_cell_length_c 4.9626
_cell_angle_alpha 90.00
_cell_angle_beta 90.00
_cell_angle_gamma 90.00
_symmetry_space_group_name_H-M 'P 1'
_symmetry_Int_Tables_number 1
_symmetry_space_group_name_Hall 'P 1'
loop_
_atom_site_label
_atom_site_fract_x
_atom_site_fract_y
_atom_site_fract_z
P1 0.5000 0.0000 0.0000
Ca1 0.0000 0.0000 0.0000
P2 0.0000 0.0000 0.5000
B1 0.5000 0.5000 0.5000
Nb1 0.0000 0.5000 0.0000
# Magnetic moment ... 0.00 μB/f.u.
# ΔE_f ... 2.43 eV per atom
# Raw total energy ... -17.40 eV/cell
# Theoretical density ... 2798 kg/m3
# Space group ... No. 123